--- a ---
Compound: MgBe3H
Source: Alexandria
Functional: PBE-GGA
Structure: relaxed

a b c (Å): 4.6856 4.6856 4.6856
angles (deg): 90.00 90.00 90.00
Space group Pm-3m (No. 221)
Asymmetric unit:
Mg: 0.0000 0.0000 0.0000 [1 per cell]
Be: 0.0000 0.0000 0.5000 [3 per cell]
H: 0.5000 0.5000 0.5000 [1 per cell]

Calculated values
total magnetic moment: 0.64 μB per formula unit
DOS(E_F): 1.9 states/eV/f.u.


--- b ---
Compound: MgBe3H
Source: Alexandria
Functional: PBE-GGA
Structure: relaxed

a b c (Å): 3.6467 3.6467 3.6467
angles (deg): 90.00 90.00 90.00
Space group Pm-3m (No. 221)
Asymmetric unit:
Mg: 0.0000 0.0000 0.0000 [1 per cell]
Be: 0.0000 0.5000 0.5000 [3 per cell]
H: 0.5000 0.5000 0.5000 [1 per cell]

Calculated values
total magnetic moment: 0.00 μB per formula unit
DOS(E_F): 1.7 states/eV/f.u.


The structure with the most favorable energy is b; the runner-up is 138.8 kJ/mol of atoms above it.


--- a ---
Compound: MgBe2H
Source: Alexandria
Functional: PBE-GGA
Structure: relaxed

a b c (Å): 5.6808 5.6808 5.6808
angles (deg): 90.00 90.00 90.00
Space group Fm-3m (No. 225)
Asymmetric unit:
Mg: 0.0000 0.0000 0.0000 [4 per cell]
Be: 0.2500 0.2500 0.2500 [8 per cell]
H: 0.0000 0.0000 0.5000 [4 per cell]

Calculated values
total magnetic moment: 0.00 μB per formula unit
DOS(E_F): 1.1 states/eV/f.u.


--- b ---
Compound: MgBe2H
Source: Alexandria
Functional: PBE-GGA
Structure: relaxed

a b c (Å): 6.9120 6.9120 6.9120
angles (deg): 90.00 90.00 90.00
Space group Fd-3m (No. 227, origin choice 2)
Asymmetric unit:
Mg: 0.1250 0.1250 0.1250 [8 per cell]
Be: 0.0000 0.0000 0.5000 [16 per cell]
H: 0.1250 0.1250 0.6250 [8 per cell]

Calculated values
total magnetic moment: 0.00 μB per formula unit
DOS(E_F): 1.5 states/eV/f.u.


The structure with the most favorable energy is b; the runner-up is 65.3 kJ/mol of atoms above it.


--- a ---
Compound: MgBeH2
Source: Alexandria
Functional: PBE-GGA
Structure: relaxed

a b c (Å): 3.9863 3.9863 9.4875
angles (deg): 90.00 90.00 90.00
Space group I-42d (No. 122)
Asymmetric unit:
Mg: 0.0000 0.0000 0.0000 [4 per cell]
Be: 0.0000 0.0000 0.5000 [4 per cell]
H: 0.0033 0.2500 0.6250 [8 per cell]

Calculated values
total magnetic moment: 0.00 μB per formula unit
DOS(E_F): 1.0 states/eV/f.u.


--- b ---
Compound: MgBeH2
Source: Alexandria
Functional: PBE-GGA
Structure: relaxed

a b c (Å): 5.2075 5.2075 5.2075
angles (deg): 90.00 90.00 90.00
Space group Fm-3m (No. 225)
Asymmetric unit:
Mg: 0.0000 0.0000 0.0000 [4 per cell]
Be: 0.0000 0.0000 0.5000 [4 per cell]
H: 0.2500 0.2500 0.2500 [8 per cell]

Calculated values
total magnetic moment: 0.00 μB per formula unit
DOS(E_F): 1.2 states/eV/f.u.


The structure with the most favorable energy is a; the runner-up is 35.4 kJ/mol of atoms above it.


--- a ---
Compound: Mg2BeH2
Source: Alexandria
Functional: PBE-GGA
Structure: relaxed

a b c (Å): 6.2421 6.2421 2.8203
angles (deg): 90.00 90.00 90.00
Space group P4/mbm (No. 127)
Asymmetric unit:
Mg: 0.1790 0.3210 0.0000 [4 per cell]
Be: 0.0000 0.0000 0.5000 [2 per cell]
H: 0.1270 0.6270 0.5000 [4 per cell]

Calculated values
total magnetic moment: 0.00 μB per formula unit
DOS(E_F): 1.4 states/eV/f.u.


--- b ---
Compound: Mg2BeH2
Source: Alexandria
Functional: PBE-GGA
Structure: relaxed

a b c (Å): 4.5260 4.5260 5.9814
angles (deg): 90.00 90.00 90.00
Space group I4/mmm (No. 139)
Asymmetric unit:
Mg: 0.0000 0.5000 0.2500 [4 per cell]
Be: 0.0000 0.0000 0.0000 [2 per cell]
H: 0.0000 0.0000 0.2382 [4 per cell]

Calculated values
total magnetic moment: 0.00 μB per formula unit
DOS(E_F): 0.8 states/eV/f.u.


The structure with the most favorable energy is b; the runner-up is 25.9 kJ/mol of atoms above it.


--- a ---
Compound: MnBeH2
Source: Alexandria
Functional: PBE-GGA
Structure: relaxed

a b c (Å): 3.6625 3.6625 8.0071
angles (deg): 90.00 90.00 90.00
Space group I-42d (No. 122)
Asymmetric unit:
Mn: 0.0000 0.0000 0.0000 [4 per cell]
Be: 0.0000 0.0000 0.5000 [4 per cell]
H: 0.2268 0.2500 0.6250 [8 per cell]

Calculated values
total magnetic moment: 2.40 μB per formula unit
DOS(E_F): 1.6 states/eV/f.u.


--- b ---
Compound: MnBeH2
Source: Alexandria
Functional: PBE-GGA
Structure: relaxed

a b c (Å): 4.5946 4.5946 4.5946
angles (deg): 90.00 90.00 90.00
Space group Fm-3m (No. 225)
Asymmetric unit:
Mn: 0.0000 0.0000 0.0000 [4 per cell]
Be: 0.0000 0.0000 0.5000 [4 per cell]
H: 0.2500 0.2500 0.2500 [8 per cell]

Calculated values
total magnetic moment: 2.01 μB per formula unit
DOS(E_F): 1.5 states/eV/f.u.


--- c ---
Compound: MnBeH2
Source: Alexandria
Functional: PBE-GGA
Structure: relaxed

a b c (Å): 2.6596 2.6596 12.6202
angles (deg): 90.00 90.00 120.00
Space group R3m (No. 160, hexagonal axes)
Asymmetric unit:
Mn: 0.0000 0.0000 0.0000 [3 per cell]
Be: 0.0000 0.0000 0.8149 [3 per cell]
H: 0.0000 0.0000 0.4035 [3 per cell]
H: 0.0000 0.0000 0.5915 [3 per cell]

Calculated values
total magnetic moment: 1.75 μB per formula unit
DOS(E_F): 1.9 states/eV/f.u.


--- d ---
Compound: MnBeH2
Source: Alexandria
Functional: PBE-GGA
Structure: relaxed

a b c (Å): 2.6275 2.6275 12.9364
angles (deg): 90.00 90.00 120.00
Space group R-3m (No. 166, hexagonal axes)
Asymmetric unit:
Mn: 0.0000 0.0000 0.0000 [3 per cell]
Be: 0.0000 0.0000 0.5000 [3 per cell]
H: 0.0000 0.0000 0.1227 [6 per cell]

Calculated values
total magnetic moment: 1.58 μB per formula unit
DOS(E_F): 0.9 states/eV/f.u.


The structure with the most favorable energy is a; the runner-up is 5.2 kJ/mol of atoms above it.


--- a ---
Compound: MnBe2H
Source: Alexandria
Functional: PBE-GGA
Structure: relaxed

a b c (Å): 2.5010 2.5010 19.3825
angles (deg): 90.00 90.00 120.00
Space group R-3m (No. 166, hexagonal axes)
Asymmetric unit:
Mn: 0.0000 0.0000 0.0000 [3 per cell]
Be: 0.0000 0.0000 0.4262 [6 per cell]
H: 0.0000 0.0000 0.5000 [3 per cell]

Calculated values
total magnetic moment: 1.41 μB per formula unit
DOS(E_F): 2.7 states/eV/f.u.


--- b ---
Compound: MnBe2H
Source: Alexandria
Functional: PBE-GGA
Structure: relaxed

a b c (Å): 5.1777 5.1777 5.1777
angles (deg): 90.00 90.00 90.00
Space group Fm-3m (No. 225)
Asymmetric unit:
Mn: 0.0000 0.0000 0.0000 [4 per cell]
Be: 0.2500 0.2500 0.2500 [8 per cell]
H: 0.0000 0.0000 0.5000 [4 per cell]

Calculated values
total magnetic moment: 2.37 μB per formula unit
DOS(E_F): 1.3 states/eV/f.u.


The structure with the most favorable energy is a; the runner-up is 53.4 kJ/mol of atoms above it.